# 1
A PBEsol-optimized structure of SbP2O7. Source: Alexandria, functional meta-GGA SCAN.

## Properties
Crystal system: monoclinic
Energy relative to the elements, uncorrected, meV/atom: -2031
Relative energy among the computed polymorphs, eV/atom: 0.074
DOS at the Fermi energy, states/eV/cell: 8.1
Total moment, μB per atom: 0.00

Lattice parameters (Å, degrees): 7.3234 8.4945 9.8034 90.00 110.40 90.00
Fractional positions:
Sb  0.2322  0.0038  0.2487
Sb  0.2322  0.4962  0.7487
Sb  0.7678  0.5038  0.2513
Sb  0.7678  0.9962  0.7513
P  0.1787  0.7021  0.4430
P  0.1787  0.7979  0.9430
P  0.4162  0.2406  0.5455
P  0.4162  0.2594  0.0455
P  0.5838  0.7406  0.9545
P  0.5838  0.7594  0.4545
P  0.8213  0.2021  0.0570
P  0.8213  0.2979  0.5570
O  0.0543  0.5828  0.3331
O  0.0543  0.9172  0.8331
O  0.1379  0.6252  0.8954
O  0.1379  0.8748  0.3954
O  0.1705  0.6866  0.5965
O  0.1705  0.8134  0.0965
O  0.2908  0.1413  0.0906
O  0.2908  0.3587  0.5906
O  0.3065  0.1988  0.3854
O  0.3065  0.3012  0.8854
O  0.3946  0.6597  0.4486
O  0.3946  0.8403  0.9486
O  0.4801  0.0971  0.6447
O  0.4801  0.4029  0.1447
O  0.5199  0.5971  0.8553
O  0.5199  0.9029  0.3553
O  0.6054  0.1597  0.0514
O  0.6054  0.3403  0.5514
O  0.6935  0.6988  0.1146
O  0.6935  0.8012  0.6146
O  0.7092  0.6413  0.4094
O  0.7092  0.8587  0.9094
O  0.8295  0.1866  0.9035
O  0.8295  0.3134  0.4035
O  0.8621  0.1252  0.6046
O  0.8621  0.3748  0.1046
O  0.9457  0.0828  0.1669
O  0.9457  0.4172  0.6669


# 2
A PBEsol-optimized structure of SbP2O7. Source: Alexandria, functional meta-GGA SCAN.

## Properties
Crystal system: orthorhombic
Energy relative to the elements, uncorrected, meV/atom: -2105
Relative energy among the computed polymorphs, eV/atom: 0.000
DOS at the Fermi energy, states/eV/cell: 0.0
Total moment, μB per atom: 0.00

Lattice parameters (Å, degrees): 8.0447 16.2667 8.0939 90.00 90.00 90.00
Fractional positions:
Sb  0.0165  0.1292  0.0000
Sb  0.0185  0.3786  0.5209
Sb  0.4815  0.8786  0.0209
Sb  0.4835  0.6292  0.5000
Sb  0.5165  0.3708  0.0000
Sb  0.5185  0.1214  0.5209
Sb  0.9815  0.6214  0.0209
Sb  0.9835  0.8708  0.5000
P  0.0768  0.5704  0.6397
P  0.1067  0.8117  0.8954
P  0.1092  0.3263  0.9013
P  0.1247  0.0924  0.6179
P  0.3753  0.5924  0.1179
P  0.3908  0.8263  0.4013
P  0.3933  0.3117  0.3954
P  0.4232  0.0704  0.1397
P  0.5768  0.9296  0.6397
P  0.6067  0.6883  0.8954
P  0.6092  0.1737  0.9013
P  0.6247  0.4076  0.6179
P  0.8753  0.9076  0.1179
P  0.8908  0.6737  0.4013
P  0.8933  0.1883  0.3954
P  0.9232  0.4296  0.1397
O  0.0056  0.3240  0.7387
O  0.0236  0.0172  0.6456
O  0.0352  0.4268  0.2965
O  0.0482  0.4089  0.9925
O  0.0547  0.1454  0.4625
O  0.0585  0.2557  0.0132
O  0.0790  0.7184  0.9134
O  0.1250  0.4791  0.6091
O  0.1332  0.8356  0.7185
O  0.1417  0.1523  0.7614
O  0.1988  0.5687  0.0485
O  0.2080  0.8374  0.3677
O  0.2259  0.6249  0.6403
O  0.2465  0.3350  0.5086
O  0.2535  0.8350  0.0086
O  0.2741  0.1249  0.1403
O  0.2920  0.3374  0.8677
O  0.3012  0.0687  0.5485
O  0.3583  0.6523  0.2614
O  0.3668  0.3356  0.2185
O  0.3750  0.9791  0.1091
O  0.4210  0.2184  0.4134
O  0.4415  0.7557  0.5132
O  0.4453  0.6454  0.9625
O  0.4518  0.9089  0.4925
O  0.4648  0.9268  0.7965
O  0.4764  0.5172  0.1456
O  0.4944  0.8240  0.2387
O  0.5056  0.1760  0.7387
O  0.5236  0.4828  0.6456
O  0.5352  0.0732  0.2965
O  0.5482  0.0911  0.9925
O  0.5547  0.3546  0.4625
O  0.5585  0.2443  0.0132
O  0.5790  0.7816  0.9134
O  0.6250  0.0209  0.6091
O  0.6332  0.6644  0.7185
O  0.6417  0.3477  0.7614
O  0.6988  0.9313  0.0485
O  0.7080  0.6626  0.3677
O  0.7259  0.8751  0.6403
O  0.7465  0.1650  0.5086
O  0.7535  0.6650  0.0086
O  0.7741  0.3751  0.1403
O  0.7920  0.1626  0.8677
O  0.8012  0.4313  0.5485
O  0.8583  0.8477  0.2614
O  0.8668  0.1644  0.2185
O  0.8750  0.5209  0.1091
O  0.9210  0.2816  0.4134
O  0.9415  0.7443  0.5132
O  0.9453  0.8546  0.9625
O  0.9518  0.5911  0.4925
O  0.9648  0.5732  0.7965
O  0.9764  0.9828  0.1456
O  0.9944  0.6760  0.2387


# 3
A PBEsol-optimized structure of SbP2O. Source: Alexandria, functional meta-GGA SCAN.

## Properties
Crystal system: tetragonal
Energy relative to the elements, uncorrected, meV/atom: 233
DOS at the Fermi energy, states/eV/cell: 4.2
Total moment, μB per atom: 0.00

Lattice parameters (Å, degrees): 7.2351 7.2351 7.2351 142.16 142.16 54.59
Fractional positions:
Sb  0.0000  0.0000  0.0000
Sb  0.7500  0.2500  0.5000
P  0.2823  0.6250  0.1573
P  0.3750  0.5323  0.6573
P  0.4677  0.1250  0.8427
P  0.8750  0.7177  0.3427
O  0.2500  0.7500  0.5000
O  0.5000  0.5000  0.0000


# 4
A PBEsol-optimized structure of SbP2O7. Source: Alexandria, functional meta-GGA SCAN.

## Properties
Crystal system: monoclinic
Energy relative to the elements, uncorrected, meV/atom: -2034
Relative energy among the computed polymorphs, eV/atom: 0.071
DOS at the Fermi energy, states/eV/cell: 4.3
Total moment, μB per atom: 0.00

Lattice parameters (Å, degrees): 4.9995 8.3954 7.1945 90.00 108.40 90.00
Fractional positions:
Sb  0.2170  0.0000  0.2262
Sb  0.7830  0.5000  0.7738
P  0.2141  0.7314  0.6007
P  0.3966  0.3154  0.0135
P  0.6034  0.8154  0.9865
P  0.7859  0.2314  0.3993
O  0.0499  0.1933  0.3420
O  0.1247  0.8312  0.4139
O  0.1838  0.4517  0.9742
O  0.2683  0.1484  0.0042
O  0.3835  0.5823  0.5872
O  0.4109  0.8482  0.7648
O  0.4150  0.8164  0.1184
O  0.5850  0.3164  0.8816
O  0.5891  0.3482  0.2352
O  0.6165  0.0823  0.4128
O  0.7317  0.6484  0.9958
O  0.8162  0.9517  0.0258
O  0.8753  0.3312  0.5861
O  0.9501  0.6933  0.6580


# 5
A PBEsol-optimized structure of Sb3P3O13. Source: Alexandria, functional meta-GGA SCAN.

## Properties
Crystal system: monoclinic
Energy relative to the elements, uncorrected, meV/atom: -1902
Total moment, μB per atom: 0.00

Lattice parameters (Å, degrees): 7.8433 6.6248 11.3198 90.00 92.41 90.00
Fractional positions:
Sb  0.0000  0.0000  0.0000
Sb  0.0000  0.5000  0.0000
Sb  0.2497  0.2500  0.5312
Sb  0.3440  0.7500  0.1963
Sb  0.6560  0.2500  0.8037
Sb  0.7503  0.7500  0.4688
P  0.1650  0.7500  0.4633
P  0.2372  0.2500  0.2272
P  0.3367  0.2500  0.8850
P  0.6633  0.7500  0.1150
P  0.7628  0.7500  0.7728
P  0.8350  0.2500  0.5367
O  0.0145  0.2500  0.6001
O  0.0796  0.2500  0.1371
O  0.1244  0.7500  0.1113
O  0.1684  0.2500  0.3525
O  0.1976  0.5636  0.5390
O  0.1976  0.9364  0.5390
O  0.2385  0.0576  0.9094
O  0.2385  0.4424  0.9094
O  0.3005  0.7500  0.3645
O  0.3477  0.0611  0.2039
O  0.3477  0.4389  0.2039
O  0.4038  0.2500  0.7523
O  0.4789  0.7500  0.0503
O  0.5211  0.2500  0.9497
O  0.5962  0.7500  0.2477
O  0.6523  0.5611  0.7961
O  0.6523  0.9389  0.7961
O  0.6995  0.2500  0.6355
O  0.7615  0.5576  0.0906
O  0.7615  0.9424  0.0906
O  0.8024  0.0636  0.4610
O  0.8024  0.4364  0.4610
O  0.8316  0.7500  0.6475
O  0.8756  0.2500  0.8887
O  0.9204  0.7500  0.8629
O  0.9855  0.7500  0.3999


# 6
A PBEsol-optimized structure of SbP5O15. Source: Alexandria, functional meta-GGA SCAN.

## Properties
Crystal system: monoclinic
Energy relative to the elements, uncorrected, meV/atom: -2029
Total moment, μB per atom: 0.00

Lattice parameters (Å, degrees): 5.2760 13.6918 8.0714 90.00 101.71 90.00
Fractional positions:
Sb  0.0000  0.0000  0.0000
Sb  0.0000  0.5000  0.0000
P  0.1778  0.0802  0.6709
P  0.1778  0.4198  0.6709
P  0.1851  0.2500  0.4493
P  0.4929  0.1412  0.0053
P  0.4929  0.3588  0.0053
P  0.5071  0.6412  0.9947
P  0.5071  0.8588  0.9947
P  0.8149  0.7500  0.5507
P  0.8222  0.5802  0.3291
P  0.8222  0.9198  0.3291
O  0.0386  0.5613  0.2203
O  0.0386  0.9387  0.2203
O  0.0447  0.2500  0.2722
O  0.0524  0.1610  0.5495
O  0.0524  0.3390  0.5495
O  0.2277  0.6074  0.9445
O  0.2277  0.8926  0.9445
O  0.2986  0.5055  0.6136
O  0.2986  0.9945  0.6136
O  0.3129  0.0815  0.0929
O  0.3129  0.4185  0.0929
O  0.3969  0.1435  0.8120
O  0.3969  0.3565  0.8120
O  0.4669  0.2500  0.5133
O  0.4872  0.2500  0.0691
O  0.5128  0.7500  0.9309
O  0.5331  0.7500  0.4867
O  0.6031  0.6435  0.1880
O  0.6031  0.8565  0.1880
O  0.6871  0.5815  0.9071
O  0.6871  0.9185  0.9071
O  0.7014  0.0055  0.3864
O  0.7014  0.4945  0.3864
O  0.7723  0.1074  0.0555
O  0.7723  0.3926  0.0555
O  0.9476  0.6610  0.4505
O  0.9476  0.8390  0.4505
O  0.9553  0.7500  0.7278
O  0.9614  0.0613  0.7797
O  0.9614  0.4387  0.7797


# 7
A PBEsol-optimized structure of SbPO5. Source: Alexandria, functional meta-GGA SCAN.

## Properties
Crystal system: monoclinic
Energy relative to the elements, uncorrected, meV/atom: -1966
Relative energy among the computed polymorphs, eV/atom: 0.000
DOS at the Fermi energy, states/eV/cell: 0.0
Total moment, μB per atom: 0.00

Lattice parameters (Å, degrees): 5.3015 5.3015 7.0741 106.34 106.34 100.36
Fractional positions:
Sb  0.0000  0.0000  0.0000
Sb  0.0000  0.0000  0.5000
P  0.3296  0.6704  0.7500
P  0.6704  0.3296  0.2500
O  0.0948  0.9052  0.2500
O  0.1251  0.6821  0.8691
O  0.2568  0.3772  0.5932
O  0.3179  0.8749  0.6309
O  0.3772  0.2568  0.0932
O  0.6228  0.7432  0.9068
O  0.6821  0.1251  0.3691
O  0.7432  0.6228  0.4068
O  0.8749  0.3179  0.1309
O  0.9052  0.0948  0.7500


# 8
A PBEsol-optimized structure of SbPO5. Source: Alexandria, functional meta-GGA SCAN.

## Properties
Crystal system: orthorhombic
Energy relative to the elements, uncorrected, meV/atom: -1921
Relative energy among the computed polymorphs, eV/atom: 0.045
DOS at the Fermi energy, states/eV/cell: 0.0
Total moment, μB per atom: 0.00

Lattice parameters (Å, degrees): 10.1802 9.0279 6.8871 78.26 60.26 41.48
Fractional positions:
Sb  0.0000  0.0000  0.0000
Sb  0.0000  0.0000  0.5000
Sb  0.0000  0.5000  0.0000
Sb  0.5000  0.0000  0.0000
P  0.1602  0.1602  0.5898
P  0.4102  0.4102  0.8398
P  0.5898  0.5898  0.1602
P  0.8398  0.8398  0.4102
O  0.0172  0.7721  0.4462
O  0.0497  0.0497  0.2003
O  0.0506  0.3785  0.7210
O  0.2003  0.2003  0.0497
O  0.2279  0.9828  0.7356
O  0.2644  0.4462  0.7721
O  0.2790  0.6501  0.9494
O  0.3499  0.7210  0.3785
O  0.3785  0.0506  0.3499
O  0.4462  0.2644  0.0172
O  0.5538  0.7356  0.9828
O  0.6215  0.9494  0.6501
O  0.6501  0.2790  0.6215
O  0.7210  0.3499  0.0506
O  0.7356  0.5538  0.2279
O  0.7721  0.0172  0.2644
O  0.7997  0.7997  0.9503
O  0.9494  0.6215  0.2790
O  0.9503  0.9503  0.7997
O  0.9828  0.2279  0.5538


# 9
A PBEsol-optimized structure of ScSbPO2. Source: Alexandria, functional meta-GGA SCAN.

## Properties
Crystal system: tetragonal
Energy relative to the elements, uncorrected, meV/atom: -983
DOS at the Fermi energy, states/eV/cell: 1.6
Total moment, μB per atom: 0.00

Lattice parameters (Å, degrees): 3.9753 3.9753 5.1612 90.00 90.00 90.00
Fractional positions:
Sc  0.0000  0.0000  0.0000
Sb  0.5000  0.5000  0.5000
P  0.5000  0.5000  0.0000
O  0.0000  0.5000  0.5000
O  0.5000  0.0000  0.5000


# 10
A PBEsol-optimized structure of TiSbP3O12. Source: Alexandria, functional meta-GGA SCAN.

## Properties
Crystal system: trigonal
Energy relative to the elements, uncorrected, meV/atom: -2427
DOS at the Fermi energy, states/eV/cell: 0.0
Total moment, μB per atom: 0.00

Lattice parameters (Å, degrees): 8.8507 8.8507 8.8507 57.82 57.82 57.82
Fractional positions:
Ti  0.0000  0.0000  0.0000
Ti  0.5000  0.5000  0.5000
Sb  0.2139  0.2139  0.2139
Sb  0.7139  0.7139  0.7139
P  0.1054  0.8243  0.3941
P  0.3243  0.6054  0.8941
P  0.3941  0.1054  0.8243
P  0.6054  0.8941  0.3243
P  0.8243  0.3941  0.1054
P  0.8941  0.3243  0.6054
O  0.0014  0.3790  0.1180
O  0.0781  0.2993  0.4306
O  0.0778  0.8581  0.2224
O  0.1180  0.0014  0.3790
O  0.1506  0.7824  0.9229
O  0.2224  0.0778  0.8581
O  0.2824  0.6506  0.4229
O  0.2993  0.4306  0.0781
O  0.3581  0.5778  0.7224
O  0.3790  0.1180  0.0015
O  0.4229  0.2824  0.6506
O  0.4306  0.0781  0.2993
O  0.5014  0.6180  0.8790
O  0.5778  0.7224  0.3581
O  0.5781  0.9306  0.7993
O  0.6180  0.8790  0.5014
O  0.6506  0.4229  0.2824
O  0.7224  0.3581  0.5778
O  0.7824  0.9229  0.1506
O  0.7993  0.5781  0.9306
O  0.8581  0.2224  0.0778
O  0.8790  0.5015  0.6180
O  0.9229  0.1506  0.7824
O  0.9306  0.7993  0.5781


# 11
A PBEsol-optimized structure of TiSbPO2. Source: Alexandria, functional meta-GGA SCAN.

## Properties
Crystal system: tetragonal
Energy relative to the elements, uncorrected, meV/atom: -609
DOS at the Fermi energy, states/eV/cell: 4.5
Total moment, μB per atom: 0.34

Lattice parameters (Å, degrees): 3.8993 3.8993 5.2448 90.00 90.00 90.00
Fractional positions:
Ti  0.0000  0.0000  0.0000
Sb  0.5000  0.5000  0.5000
P  0.5000  0.5000  0.0000
O  0.0000  0.5000  0.5000
O  0.5000  0.0000  0.5000


# 12
A PBEsol-optimized structure of TiSb3P6O24. Source: Alexandria, functional meta-GGA SCAN.

## Properties
Crystal system: trigonal
Energy relative to the elements, uncorrected, meV/atom: -2217
DOS at the Fermi energy, states/eV/cell: 2.2
Total moment, μB per atom: 0.03

Lattice parameters (Å, degrees): 9.0238 9.0238 9.0238 55.30 55.30 55.30
Fractional positions:
Ti  0.0000  0.0000  0.0000
Sb  0.2854  0.2854  0.2854
Sb  0.4934  0.4934  0.4934
Sb  0.7960  0.7960  0.7960
P  0.1063  0.6834  0.3933
P  0.1846  0.6083  0.8869
P  0.3933  0.1063  0.6834
P  0.6083  0.8869  0.1846
P  0.6834  0.3933  0.1063
P  0.8869  0.1846  0.6083
O  0.0140  0.2746  0.4030
O  0.0354  0.8737  0.2407
O  0.1205  0.5151  0.3789
O  0.1473  0.7663  0.9346
O  0.2407  0.0354  0.8737
O  0.2746  0.4030  0.0140
O  0.3054  0.6663  0.3589
O  0.3220  0.6391  0.6703
O  0.3589  0.3054  0.6663
O  0.3789  0.1205  0.5151
O  0.4030  0.0140  0.2746
O  0.5151  0.3789  0.1205
O  0.6019  0.9623  0.6740
O  0.6177  0.9212  0.9896
O  0.6391  0.6703  0.3220
O  0.6663  0.3589  0.3054
O  0.6703  0.3220  0.6391
O  0.6740  0.6019  0.9623
O  0.7663  0.9346  0.1473
O  0.8737  0.2407  0.0354
O  0.9212  0.9896  0.6177
O  0.9346  0.1473  0.7663
O  0.9623  0.6740  0.6019
O  0.9896  0.6177  0.9212


Number 1: calculated total energy -12.1984 eV/atom. Number 2: calculated total energy -12.2728 eV/atom. Number 3: calculated total energy -15.8391 eV/atom. Number 4: calculated total energy -12.2016 eV/atom. Number 5: calculated total energy -13.6907 eV/atom. Number 6: calculated total energy -10.7301 eV/atom. Number 7: calculated total energy -13.2256 eV/atom. Number 8: calculated total energy -13.1803 eV/atom. Number 9: calculated total energy -15.8549 eV/atom. Number 10: calculated total energy -11.7954 eV/atom. Number 11: calculated total energy -15.8397 eV/atom. Number 12: calculated total energy -12.2101 eV/atom.